The following is a PBE calculation of crystalline Sc5TlPt at its relaxed geometry, from Alexandria.

```
Sc5TlPt
1.0
5.3507 -0.6560 -0.1237
1.0755 5.2824 -0.1237
2.3733 1.7086 10.8564
Sc Pt Tl
10 2 2
Direct
0.4863 0.7866 0.9305
0.9256 0.5583 0.1235
0.0100 0.9900 0.7500
0.5583 0.9256 0.6235
0.9900 0.0100 0.2500
0.5137 0.2134 0.0695
0.7866 0.4863 0.4305
0.0744 0.4417 0.8765
0.4417 0.0744 0.3765
0.2134 0.5137 0.5695
0.0000 0.0000 0.5000
0.0000 0.0000 0.0000
0.6071 0.3929 0.7500
0.3929 0.6071 0.2500
```

energy of formation from the pure elements: -233 kJ/mol of formula units


The following is a PBE calculation of crystalline HoNp4N5 at its relaxed geometry, from Alexandria.

```
HoNp4N5
1.0
4.3946 0.0000 2.1196
2.1973 5.4590 1.0598
-0.1743 0.0000 5.9768
Np N Ho
4 5 1
Direct
0.2018 0.1983 0.4002
0.6020 0.5998 0.1983
0.8003 0.8017 0.5998
0.4000 0.4002 0.8017
0.1027 0.5963 0.2002
0.8993 0.4037 0.7998
0.5011 0.0000 0.0000
0.3029 0.7998 0.5963
0.6991 0.2002 0.4037
0.0010 0.0000 0.0000
```

E_form (uncorrected): -1.23 eV per atom


The following is a PBE calculation of crystalline Na5Tl6Ag at its relaxed geometry, from Alexandria.

```
Na5Tl6Ag
1.0
4.7608 -0.0254 1.5866
0.0414 8.6055 0.0138
-0.0172 -0.0127 7.9876
Na Tl Ag
5 6 1
Direct
0.3303 0.5000 0.3395
0.6657 0.0000 0.6685
0.3343 0.0000 0.3315
0.0000 0.5000 0.0000
0.6697 0.5000 0.6605
0.5000 0.2357 0.0000
0.1563 0.2346 0.6874
0.5000 0.7643 0.0000
0.8437 0.2346 0.3126
0.1563 0.7654 0.6874
0.8437 0.7654 0.3126
0.0000 0.0000 0.0000
```

energy of formation from the pure elements: -79 kJ/mol of formula units


The following is a PBE calculation of crystalline ThAl3Au at its relaxed geometry, from Alexandria.

```
ThAl3Au
1.0
4.1293 0.0015 1.4265
-0.4903 4.0990 1.4297
0.1811 0.1991 6.1662
Al Th Au
3 1 1
Direct
0.7932 0.5968 0.1192
0.1507 0.4530 0.4051
0.6497 0.9543 0.4051
0.3899 0.1934 0.9258
0.0244 0.8277 0.6560
```

energy above the most stable polymorph in this dataset: 0.0 meV per atom
energy of formation from the pure elements: -273 kJ/mol of formula units


The following is a PBE calculation of crystalline CaNd2Sc at its relaxed geometry, from Alexandria.

```
CaNd2Sc
1.0
-0.1390 1.9382 -4.4619
2.3784 -4.2216 -1.9079
-4.6303 -2.2350 -0.8266
Nd Ca Sc
2 1 1
Direct
0.0000 0.5000 0.0000
0.0000 0.0000 0.5000
0.5000 0.5000 0.5000
0.5000 0.0000 0.0000
```

energy above the most stable polymorph in this dataset: 74.6 meV per atom
energy of formation from the pure elements: 53 kJ/mol of formula units


The following is a PBE calculation of crystalline CeSm2SnN at its relaxed geometry, from Alexandria.

```
CeSm2SnN
1.0
4.8393 0.0000 0.0000
0.0000 4.9732 0.0000
0.0000 0.0000 4.9732
Sm N Ce Sn
2 1 1 1
Direct
0.0000 0.5000 0.0000
0.0000 0.0000 0.5000
0.0000 0.0000 0.0000
0.5000 0.0000 0.0000
0.5000 0.5000 0.5000
```

E_form (uncorrected): -0.97 eV per atom


The following is a PBE calculation of crystalline NaZn2BO4 at its relaxed geometry, from Alexandria.

```
NaZn2BO4
1.0
-2.9732 -1.9024 3.2772
3.7841 -1.7100 2.4403
-0.2562 4.8580 -0.9519
Na B O Zn
1 1 4 2
Direct
0.0001 0.0001 0.0001
0.5000 0.5000 0.0001
0.4343 0.7994 0.2337
0.7994 0.4343 0.2337
0.5657 0.5657 0.7664
0.2007 0.2007 0.7664
0.2500 0.7500 0.5001
0.7500 0.2500 0.5001
```

E_form (uncorrected): -1.80 eV per atom


The following is a PBE calculation of crystalline SnAsHOsBr at its relaxed geometry, from Alexandria.

```
SnAsHOsBr
1.0
-0.9673 2.9786 -1.1047
-4.3892 0.7590 1.3071
0.5557 2.9424 6.3939
As H Os Sn Br
1 1 1 1 1
Direct
0.1368 0.2996 0.5491
0.1108 0.3783 0.3098
0.4410 0.7123 0.5748
0.8881 0.8938 0.2493
0.4786 0.5511 0.9474
```

energy above the most stable polymorph in this dataset: 219.9 meV per atom


The following is a PBE calculation of crystalline SrAuSe at its relaxed geometry, from Alexandria.

```
SrAuSe
1.0
-6.3201 -2.9149 2.0929
3.5616 -5.0552 -3.8183
4.4273 1.6435 6.8059
Au Se Sr
4 4 4
Direct
0.1250 0.8750 0.7500
0.1250 0.8750 0.2500
0.6250 0.8750 0.7500
0.1250 0.3750 0.2500
0.5221 0.0221 0.5000
0.2721 0.2721 0.0000
0.7279 0.7279 0.0000
0.9779 0.4779 0.5000
0.3201 0.3201 0.6401
0.9299 0.4299 0.8599
0.5701 0.0701 0.1401
0.6799 0.6799 0.3599
```

E_form (uncorrected): -0.81 eV per atom
energy above the most stable polymorph in this dataset: 116.9 meV per atom


The following is a PBE calculation of crystalline HfTiZnI2 at its relaxed geometry, from Alexandria.

```
HfTiZnI2
1.0
-3.5266 1.9868 3.6430
-2.3808 -4.5800 0.1931
3.3044 -1.5473 4.0426
I Ti Zn Hf
2 1 1 1
Direct
0.0000 0.0000 0.5000
0.5000 0.0000 0.0000
0.0000 0.0000 0.0000
0.5000 0.5000 0.5000
0.0000 0.5000 0.0000
```

E_form (uncorrected): 0.59 eV per atom


The following is a PBE calculation of crystalline Na2BF5 at its relaxed geometry, from Alexandria.

```
Na2BF5
1.0
-2.0192 3.2634 -5.4603
1.0419 -2.4899 -6.1040
-1.7806 -1.7958 7.5842
B F Na
1 5 2
Direct
0.9442 0.9442 0.8271
0.0299 0.0299 0.7716
0.5869 0.5869 0.3618
0.2515 0.8961 0.0782
0.8507 0.8507 0.1326
0.8961 0.2515 0.0782
0.3480 0.8698 0.6522
0.8698 0.3480 0.6522
```

E_form (uncorrected): -2.83 eV per atom


The following is a PBE calculation of crystalline RbCdAsSe2 at its relaxed geometry, from Alexandria.

```
RbCdAsSe2
1.0
5.4853 0.0000 0.0000
0.0000 5.4853 0.0000
0.0000 0.0000 5.1827
Rb Cd As Se
1 1 1 2
Direct
0.5000 0.5000 0.5000
0.0000 0.0000 0.0000
0.0000 0.0000 0.5000
0.5000 0.0000 0.0000
0.0000 0.5000 0.0000
```

E_form (uncorrected): 0.04 eV per atom
energy above the most stable polymorph in this dataset: 0.0 meV per atom


The following is a PBE calculation of crystalline SrGd2H at its relaxed geometry, from Alexandria.

```
SrGd2H
1.0
-3.2895 -1.1128 1.2358
-0.2094 -2.2623 2.9026
-1.5279 6.6114 7.3833
H Sr Gd
1 1 2
Direct
0.5000 0.5000 0.5000
0.0000 0.0000 0.0000
0.1210 0.1210 0.6370
0.8790 0.8790 0.3630
```

VASP energy: -8.296 eV per atom


The following is a PBE calculation of crystalline NaEr5Ru4 at its relaxed geometry, from Alexandria.

```
NaEr5Ru4
1.0
-1.3113 2.3707 2.0187
0.2585 -2.1000 2.6340
17.7352 6.7259 3.6216
Er Na Ru
5 1 4
Direct
0.5000 0.5000 0.8460
0.5000 0.5000 0.1540
0.5000 0.5000 0.6735
0.5000 0.5000 0.3265
0.5000 0.5000 0.5000
0.0000 0.0000 0.0000
0.0000 0.0000 0.7676
0.0000 0.0000 0.5872
0.0000 0.0000 0.2324
0.0000 0.0000 0.4128
```

energy of formation from the pure elements: -338 kJ/mol of formula units


The following is a PBE calculation of crystalline La3Ce2Ga4 at its relaxed geometry, from Alexandria.

```
La3Ce2Ga4
1.0
4.4875 0.0000 0.0000
-2.2438 5.9159 -0.6190
0.0000 -3.3241 9.4284
La Ga Ce
3 4 2
Direct
0.0000 0.0000 0.0000
0.6455 0.2910 0.6985
0.3545 0.7090 0.3015
0.9396 0.8792 0.5840
0.0604 0.1208 0.4160
0.7102 0.4204 0.0426
0.2898 0.5796 0.9574
0.3225 0.6449 0.6702
0.6775 0.3551 0.3298
```

energy of formation from the pure elements: -360 kJ/mol of formula units


The following is a PBE calculation of crystalline Y5Al4Tl at its relaxed geometry, from Alexandria.

```
Y5Al4Tl
1.0
3.6169 0.0000 0.0000
0.0000 3.6169 0.0000
0.0000 0.0000 18.5822
Al Tl Y
4 1 5
Direct
0.0000 0.0000 0.2093
0.0000 0.0000 0.5961
0.0000 0.0000 0.7907
0.0000 0.0000 0.4039
0.0000 0.0000 0.0000
0.5000 0.5000 0.6925
0.5000 0.5000 0.1114
0.5000 0.5000 0.8886
0.5000 0.5000 0.5000
0.5000 0.5000 0.3075
```

energy of formation from the pure elements: -393 kJ/mol of formula units


The following is a PBE calculation of crystalline NpF4 at its relaxed geometry, from Alexandria.

```
NpF4
1.0
-4.8720 -0.1519 3.3106
2.6162 -5.1979 -0.9261
3.9116 3.3406 2.9348
Np F
2 8
Direct
0.5804 0.0804 0.5000
0.3304 0.3304 0.0000
0.2140 0.0122 0.1820
0.6968 0.3989 0.3182
0.0807 0.3785 0.6818
0.8302 0.0320 0.8180
0.6489 0.4468 0.8182
0.2820 0.5802 0.3180
0.6285 0.8307 0.1818
0.2622 0.9640 0.6820
```

E_form (uncorrected): -3.42 eV per atom
energy above the most stable polymorph in this dataset: 45.8 meV per atom


The following is a PBE calculation of crystalline Sm7Zn2Ga2 at its relaxed geometry, from Alexandria.

```
Sm7Zn2Ga2
1.0
6.5983 -0.0028 -0.9819
0.0038 7.6196 0.0030
-1.3911 -0.0019 6.5243
Ga Sm Zn
2 7 2
Direct
0.1677 0.5000 0.1677
0.8323 0.5000 0.8323
0.5000 0.7139 0.0000
0.5000 0.2861 0.0000
0.5000 0.7414 0.5000
0.0000 0.0000 0.0000
0.0000 0.2861 0.5000
0.0000 0.7139 0.5000
0.5000 0.2586 0.5000
0.7105 0.0000 0.2895
0.2895 0.0000 0.7105
```

energy of formation from the pure elements: -85 kJ/mol of formula units


The following is a PBE calculation of crystalline CePm2Y at its relaxed geometry, from Alexandria.

```
CePm2Y
1.0
3.4735 0.0000 0.0000
1.7367 3.0081 0.0000
1.7367 1.0027 12.5117
Ce Y Pm
1 1 2
Direct
0.0000 0.0000 0.0000
0.5000 0.5000 0.5000
0.0879 0.0879 0.7363
0.9121 0.9121 0.2637
```

energy above the most stable polymorph in this dataset: 127.0 meV per atom
energy of formation from the pure elements: 73 kJ/mol of formula units


The following is a PBE calculation of crystalline Ba2MnAu at its relaxed geometry, from Alexandria.

```
Ba2MnAu
1.0
-4.2222 1.6766 0.7333
-3.4578 -1.1813 -2.7972
-4.3508 -6.4964 4.3167
Mn Ba Au
1 2 1
Direct
0.2500 0.2500 0.2500
0.0045 0.0045 0.9849
0.4955 0.4955 0.5151
0.7500 0.7500 0.7500
```

energy above the most stable polymorph in this dataset: 205.5 meV per atom
energy of formation from the pure elements: 50 kJ/mol of formula units